Density functional theory data (PBE+U) for a geometry-optimized Be2CoF structure.

Lattice parameters (Å, degrees): 5.3721 5.3721 5.3721 90.00 90.00 90.00
Space group Fm-3m (No. 225)
Symmetry-distinct sites (fractional):
Be: 0.2500 0.2500 0.2500
Co: 0.0000 0.0000 0.0000
F: 0.0000 0.0000 0.5000

Calculated total energy in Ry per atom: -0.225
N(E_F) in states/eV per atom: 0.009